Material: PrAl2CuAu4
Method: DFT, PBE
State: optimized geometry

Properties
- formation energy (eV per atom) = -0.487

abc: 4.433 4.433 9.359
angles: 76.30 76.30 60.00
Fractional coordinates of all 8 atoms:
Au 0.867 0.867 0.400
Au 0.600 0.600 0.201
Pr 0.000 0.000 0.000
Al 0.237 0.237 0.290
Au 0.400 0.400 0.799
Au 0.133 0.133 0.600
Cu 0.500 0.500 0.500
Al 0.763 0.763 0.710